Material: CaLaAl3
Method: DFT, PBE
State: relaxed

a b c (Å): 5.608 5.608 5.608
angles (deg): 90.00 90.00 90.00
Element x y z (fractional)
Ca 0.000 0.000 0.000
La 0.500 0.500 0.500
Al 0.000 0.500 0.500
Al 0.500 0.000 0.500
Al 0.500 0.500 0.000

polymorph energy (0 for the lowest one): 0.170 eV/atom
crystal system: cubic
E_tot: -2.891 eV per atom
E_form: 0.741 eV/atom